Record 1
VASP calculation (GGA-PBE) on an optimized crystal structure of NaTl2In5Hg.

Unit cell a=3.3614 b=10.0140 c=15.0451 alpha=90.00 beta=90.00 gamma=99.66
Element x y z (fractional)
In (0.6294, 0.2588, 0.5193)
In (0.3706, 0.7412, 0.0193)
In (0.5403, 0.0805, 0.6943)
In (0.9547, 0.9093, 0.5508)
In (0.6332, 0.2663, 0.2050)
In (0.2125, 0.4250, 0.3651)
In (0.3668, 0.7337, 0.7050)
In (0.7875, 0.5750, 0.8651)
In (0.0453, 0.0907, 0.0508)
In (0.4597, 0.9195, 0.1943)
Tl (0.8062, 0.6124, 0.2039)
Tl (0.9656, 0.9313, 0.8627)
Tl (0.1938, 0.3876, 0.7039)
Tl (0.0344, 0.0687, 0.3627)
Hg (0.7918, 0.5835, 0.5355)
Hg (0.2082, 0.4165, 0.0355)
Na (0.6216, 0.2431, 0.8874)
Na (0.3784, 0.7569, 0.3874)

Computed properties:
spin magnetization = 0.000 μB per atom
ΔE_f = -18 kJ/mol of formula units
N(E_F) = 0.41 states/eV/atom
ρ = 8.025 g/cm³
final energy = -2.2481 eV per atom
symmetry = Cmc2_1, No. 36



Record 2
VASP calculation (GGA-PBE) on an optimized crystal structure of NaTl2InHg2.

Unit cell a=5.5028 b=6.7793 c=8.9514 alpha=90.00 beta=90.00 gamma=90.00
Element x y z (fractional)
Tl (0.5000, 0.0075, 0.0017)
Tl (0.0000, 0.2602, 0.1600)
Tl (0.0000, 0.7602, 0.8400)
Tl (0.5000, 0.5075, 0.9983)
In (0.5000, 0.7539, 0.3265)
In (0.5000, 0.2539, 0.6735)
Hg (0.5000, 0.7569, 0.6593)
Hg (0.0000, 0.7593, 0.1874)
Hg (0.5000, 0.2569, 0.3407)
Hg (0.0000, 0.2593, 0.8126)
Na (0.0000, 0.0078, 0.4992)
Na (0.0000, 0.5078, 0.5008)

Computed properties:
spin magnetization = 0.000 μB per atom
ΔE_f = -55 kJ/mol of formula units
N(E_F) = 0.31 states/eV/atom
ρ = 9.426 g/cm³
final energy = -1.6605 eV per atom
symmetry = Pmc2_1, No. 26



Record 3
VASP calculation (GGA-PBE) on an optimized crystal structure of Na3Tl2In4Hg2.

Unit cell a=5.1384 b=5.1384 c=13.5300 alpha=90.00 beta=90.00 gamma=120.00
Element x y z (fractional)
In (0.3333, 0.6667, 0.8835)
In (0.6667, 0.3333, 0.1165)
In (0.3333, 0.6667, 0.3595)
In (0.6667, 0.3333, 0.6405)
Na (0.0000, 0.0000, 0.0000)
Na (0.0000, 0.0000, 0.2542)
Na (0.0000, 0.0000, 0.7458)
Hg (0.3333, 0.6667, 0.1290)
Hg (0.6667, 0.3333, 0.8710)
Tl (0.3333, 0.6667, 0.5965)
Tl (0.6667, 0.3333, 0.4035)

Computed properties:
spin magnetization = 0.000 μB per atom
ΔE_f = -89 kJ/mol of formula units
N(E_F) = 0.40 states/eV/atom
ρ = 7.183 g/cm³
final energy = -1.9248 eV per atom
symmetry = P-3m1, No. 164



Record 4
VASP calculation (GGA-PBE) on an optimized crystal structure of NaTl4InHg2.

Unit cell a=5.2562 b=5.2562 c=9.5710 alpha=90.00 beta=90.00 gamma=90.00
Element x y z (fractional)
Hg (0.5000, 0.5000, 0.3524)
Hg (0.5000, 0.5000, 0.6476)
Na (0.0000, 0.0000, 0.5000)
In (0.0000, 0.0000, 0.0000)
Tl (0.5000, 0.0000, 0.1837)
Tl (0.0000, 0.5000, 0.1837)
Tl (0.5000, 0.0000, 0.8163)
Tl (0.0000, 0.5000, 0.8163)

Computed properties:
spin magnetization = 0.000 μB per atom
ΔE_f = 7 kJ/mol of formula units
N(E_F) = 0.45 states/eV/atom
ρ = 8.519 g/cm³
final energy = -1.7564 eV per atom
symmetry = P4/mmm, No. 123



Record 5
VASP calculation (GGA-PBE) on an optimized crystal structure of Na3Tl4In2Hg2.

Unit cell a=5.2243 b=5.2243 c=13.6755 alpha=90.00 beta=90.00 gamma=120.00
Element x y z (fractional)
In (0.6667, 0.3333, 0.3734)
In (0.3333, 0.6667, 0.6266)
Tl (0.6667, 0.3333, 0.1348)
Tl (0.3333, 0.6667, 0.3941)
Tl (0.6667, 0.3333, 0.6059)
Tl (0.3333, 0.6667, 0.8652)
Na (0.0000, 0.0000, 0.2612)
Na (0.0000, 0.0000, 0.7388)
Na (0.0000, 0.0000, 0.0000)
Hg (0.3333, 0.6667, 0.1184)
Hg (0.6667, 0.3333, 0.8816)

Computed properties:
spin magnetization = 0.000 μB per atom
ΔE_f = -80 kJ/mol of formula units
N(E_F) = 0.37 states/eV/atom
ρ = 7.795 g/cm³
final energy = -1.8481 eV per atom
symmetry = P-3m1, No. 164



Record 6
VASP calculation (GGA-PBE) on an optimized crystal structure of NaTl2In2Hg2.

Unit cell a=4.7490 b=4.7490 c=13.1919 alpha=90.00 beta=90.00 gamma=120.00
Element x y z (fractional)
Hg (0.3333, 0.6667, 0.6570)
Hg (0.6667, 0.3333, 0.3430)
In (0.3333, 0.6667, 0.4221)
In (0.6667, 0.3333, 0.5779)
Na (0.0000, 0.0000, 0.0000)
Tl (0.0000, 0.0000, 0.2345)
Tl (0.0000, 0.0000, 0.7655)

Computed properties:
spin magnetization = 0.000 μB per atom
ΔE_f = 61 kJ/mol of formula units
N(E_F) = 0.52 states/eV/atom
ρ = 6.848 g/cm³
final energy = -1.6432 eV per atom
symmetry = P-3m1, No. 164



Record 7
VASP calculation (GGA-PBE) on an optimized crystal structure of Na2Tl3In2Hg4.

Unit cell a=5.3068 b=5.3068 c=12.6143 alpha=90.00 beta=90.00 gamma=120.00
Element x y z (fractional)
In (0.6667, 0.3333, 0.3580)
In (0.3333, 0.6667, 0.6420)
Hg (0.3333, 0.6667, 0.4074)
Hg (0.6667, 0.3333, 0.5926)
Hg (0.6667, 0.3333, 0.1049)
Hg (0.3333, 0.6667, 0.8951)
Na (0.6667, 0.3333, 0.8460)
Na (0.3333, 0.6667, 0.1540)
Tl (0.0000, 0.0000, 0.7282)
Tl (0.0000, 0.0000, 0.2718)
Tl (0.0000, 0.0000, 0.0000)

Computed properties:
spin magnetization = 0.000 μB per atom
ΔE_f = -94 kJ/mol of formula units
N(E_F) = 0.37 states/eV/atom
ρ = 9.128 g/cm³
final energy = -1.5817 eV per atom
symmetry = P-3m1, No. 164



Record 8
VASP calculation (GGA-PBE) on an optimized crystal structure of NaTlIn2Hg6.

Unit cell a=8.2121 b=8.8196 c=7.6497 alpha=90.00 beta=87.19 gamma=90.00
Element x y z (fractional)
Hg (0.8568, 0.1375, 0.0172)
Hg (0.3822, 0.3517, 0.9757)
Hg (0.1432, 0.8625, 0.9828)
Hg (0.7053, 0.3607, 0.7455)
Hg (0.2947, 0.6393, 0.2545)
Hg (0.6178, 0.6483, 0.0243)
Hg (0.3568, 0.3625, 0.5172)
Hg (0.8822, 0.1483, 0.4757)
Hg (0.7947, 0.8607, 0.7545)
Hg (0.2053, 0.1393, 0.2455)
Hg (0.1178, 0.8517, 0.5243)
Hg (0.6432, 0.6375, 0.4828)
In (0.8464, 0.8437, 0.2438)
In (0.1536, 0.1563, 0.7562)
In (0.3464, 0.6563, 0.7438)
In (0.6536, 0.3437, 0.2562)
Na (0.0000, 0.5000, 0.5000)
Na (0.5000, 0.0000, 0.0000)
Tl (0.5000, 0.0000, 0.5000)
Tl (0.0000, 0.5000, 0.0000)

Computed properties:
spin magnetization = 0.000 μB per atom
ΔE_f = -36 kJ/mol of formula units
N(E_F) = 0.46 states/eV/atom
ρ = 9.966 g/cm³
final energy = -1.1345 eV per atom
symmetry = P2_1/c, No. 14



Record 9
VASP calculation (GGA-PBE) on an optimized crystal structure of NaTlIn2Hg5.

Unit cell a=5.4585 b=6.3301 c=9.1950 alpha=110.13 beta=107.27 gamma=90.00
Element x y z (fractional)
Hg (0.3401, 0.1009, 0.6801)
Hg (0.6599, 0.4208, 0.3199)
Hg (0.0000, 0.0000, 0.0000)
Hg (0.3401, 0.5792, 0.6801)
Hg (0.6599, 0.8991, 0.3199)
In (0.1779, 0.1779, 0.3559)
In (0.8221, 0.8221, 0.6441)
Tl (0.0000, 0.5000, 0.0000)
Na (0.5000, 0.0000, 0.0000)

Computed properties:
spin magnetization = 0.000 μB per atom
ΔE_f = 45 kJ/mol of formula units
N(E_F) = 0.55 states/eV/atom
ρ = 8.567 g/cm³
final energy = -1.1343 eV per atom
symmetry = Immm, No. 71



Record 10
VASP calculation (GGA-PBE) on an optimized crystal structure of NaTlIn2Hg2.

Unit cell a=5.1788 b=6.7409 c=9.3065 alpha=90.00 beta=90.00 gamma=90.00
Element x y z (fractional)
In (0.0000, 0.8589, 0.8110)
In (0.5000, 0.0002, 0.0140)
In (0.5000, 0.5002, 0.9860)
In (0.0000, 0.3589, 0.1890)
Tl (0.0000, 0.9862, 0.4627)
Tl (0.0000, 0.4862, 0.5373)
Na (0.5000, 0.6877, 0.3314)
Na (0.5000, 0.1877, 0.6686)
Hg (0.0000, 0.8166, 0.1436)
Hg (0.0000, 0.3166, 0.8564)
Hg (0.5000, 0.1960, 0.3233)
Hg (0.5000, 0.6960, 0.6767)

Computed properties:
spin magnetization = 0.000 μB per atom
ΔE_f = -53 kJ/mol of formula units
N(E_F) = 0.25 states/eV/atom
ρ = 8.772 g/cm³
final energy = -1.7183 eV per atom
symmetry = Pmc2_1, No. 26



Record 11
VASP calculation (GGA-PBE) on an optimized crystal structure of Na3Tl2In2Hg4.

Unit cell a=5.0718 b=5.0718 c=13.8181 alpha=90.00 beta=90.00 gamma=120.00
Element x y z (fractional)
Tl (0.6667, 0.3333, 0.4240)
Tl (0.3333, 0.6667, 0.5760)
Na (0.0000, 0.0000, 0.2591)
Na (0.0000, 0.0000, 0.0000)
Na (0.0000, 0.0000, 0.7409)
Hg (0.3333, 0.6667, 0.8768)
Hg (0.3333, 0.6667, 0.3471)
Hg (0.6667, 0.3333, 0.1232)
Hg (0.6667, 0.3333, 0.6529)
In (0.6667, 0.3333, 0.8730)
In (0.3333, 0.6667, 0.1270)

Computed properties:
spin magnetization = 0.000 μB per atom
ΔE_f = -147 kJ/mol of formula units
N(E_F) = 0.44 states/eV/atom
ρ = 8.144 g/cm³
final energy = -1.5365 eV per atom
symmetry = P-3m1, No. 164



Record 12
VASP calculation (GGA-PBE) on an optimized crystal structure of Na2TlIn2Hg4.

Unit cell a=7.1971 b=7.1971 c=7.1971 alpha=91.18 beta=119.32 gamma=119.32
Element x y z (fractional)
In (0.5000, 0.7500, 0.2500)
In (0.5000, 0.2500, 0.7500)
Tl (0.0000, 0.0000, 0.0000)
Hg (0.4320, 0.7160, 0.7160)
Hg (0.5680, 0.2840, 0.2840)
Hg (0.0000, 0.7160, 0.2840)
Hg (0.0000, 0.2840, 0.7160)
Na (0.0000, 0.7091, 0.7091)
Na (0.0000, 0.2909, 0.2909)

Computed properties:
spin magnetization = 0.000 μB per atom
ΔE_f = 17 kJ/mol of formula units
N(E_F) = 0.24 states/eV/atom
ρ = 7.998 g/cm³
final energy = -1.2789 eV per atom
symmetry = I4/mmm, No. 139